Computed, not measured: a relaxed structure of La3MgO at the PBE-GGA level of DFT.

Formation energy without anion corrections = -5.03 eV/f.u.
Energy relative to the lowest polymorph listed for this composition = 201 meV per atom
Total magnetic moment = 1.126 μB per formula unit

a b c (Å): 3.939 7.647 10.620
angles (deg): 90.00 90.00 90.00
Space group Amm2 (No. 38)
One atom of each set of equivalent atoms:
La  0.000  0.000  0.000 (multiplicity 2)
La  0.500  0.245  0.259 (multiplicity 4)
Mg  0.000  0.000  0.505 (multiplicity 2)
O  0.500  0.000  0.876 (multiplicity 2)

=====

Computed, not measured: a relaxed structure of Hf3ZrAl at the PBE-GGA level of DFT.

Energy relative to the lowest polymorph listed for this composition = 612 meV per atom
Total magnetic moment = 2.202 μB per formula unit

a b c (Å): 4.989 4.989 4.989
angles (deg): 90.00 90.00 90.00
Space group Pm-3m (No. 221)
One atom of each set of equivalent atoms:
Hf  0.000  0.000  0.500 (multiplicity 3)
Zr  0.500  0.500  0.500 (multiplicity 1)
Al  0.000  0.000  0.000 (multiplicity 1)

=====

Computed, not measured: a relaxed structure of Mg2SiSbH at the PBE-GGA level of DFT.

E_tot = -0.226 Ry/atom
Total magnetic moment = 0.000 μB per formula unit

a b c (Å): 5.320 5.320 3.458
angles (deg): 90.00 90.00 90.00
Space group P4/mmm (No. 123)
One atom of each set of equivalent atoms:
Mg  0.000  0.500  0.000 (multiplicity 2)
Si  0.000  0.000  0.000 (multiplicity 1)
Sb  0.500  0.500  0.500 (multiplicity 1)
H  0.000  0.000  0.500 (multiplicity 1)

=====

Computed, not measured: a relaxed structure of CsAg2SnCl8 at the PBE-GGA level of DFT.

Formation energy without anion corrections = -10.84 eV/f.u.
Total magnetic moment = 0.000 μB per formula unit

a b c (Å): 6.625 6.898 8.626
angles (deg): 80.61 84.05 88.98
Space group P-1 (No. 2)
One atom of each set of equivalent atoms:
Cs  0.000  0.000  0.000 (multiplicity 1)
Ag  0.433  0.498  0.198 (multiplicity 2)
Sn  0.000  0.500  0.500 (multiplicity 1)
Cl  0.136  0.510  0.756 (multiplicity 2)
Cl  0.243  0.757  0.363 (multiplicity 2)
Cl  0.257  0.253  0.437 (multiplicity 2)
Cl  0.493  0.225  0.033 (multiplicity 2)

=====

Computed, not measured: a relaxed structure of MgBe3Ga at the PBE-GGA level of DFT.

Energy relative to the lowest polymorph listed for this composition = 639 meV per atom
Total magnetic moment = 0.000 μB per formula unit

a b c (Å): 4.545 4.545 4.545
angles (deg): 90.00 90.00 90.00
Space group Pm-3m (No. 221)
One atom of each set of equivalent atoms:
Mg  0.000  0.000  0.000 (multiplicity 1)
Be  0.000  0.000  0.500 (multiplicity 3)
Ga  0.500  0.500  0.500 (multiplicity 1)

=====

Computed, not measured: a relaxed structure of Sc3GaO at the PBE-GGA level of DFT.

Formation energy without anion corrections = -5.37 eV/f.u.
Total magnetic moment = 1.291 μB per formula unit

a b c (Å): 11.695 11.695 11.695
angles (deg): 90.00 90.00 90.00
Space group Fd-3m (No. 227, origin choice 2)
One atom of each set of equivalent atoms:
Sc  0.067  0.375  0.375 (multiplicity 48)
Ga  0.000  0.000  0.500 (multiplicity 16)
O  0.000  0.000  0.000 (multiplicity 16)